1.
SrMg2Cl: optimized geometry, PBE-GGA.

As for the uncorrected formation energy: -120 meV per atom. For the total energy, the calculation gives -1.80 eV/atom. As for the energy above the lowest structure with this stoichiometry: 2.265 eV per formula unit. For the calculated volume, the calculation gives 134.0 Å³/f.u.

The structure belongs to space group Fm-3m (No. 225); the cell edges are 8.124, 8.124 and 8.124 Å and the angles 90.00°, 90.00° and 90.00°. The asymmetric unit holds Sr at (0.000, 0.000, 0.000), Mg at (0.250, 0.250, 0.250) and Cl at (0.000, 0.000, 0.500).

=====

2.
SrMg2Cl: optimized geometry, PBE-GGA.

As for the uncorrected formation energy: -683 meV per atom. For the total energy, the calculation gives -2.36 eV/atom. As for the energy above the lowest structure with this stoichiometry: 0.013 eV per formula unit. For the calculated volume, the calculation gives 134.6 Å³/f.u.

The structure belongs to space group P4mm (No. 99); the cell edges are 3.735, 3.735 and 9.650 Å and the angles 90.00°, 90.00° and 90.00°. The asymmetric unit holds Sr at (0.000, 0.000, 0.000), Mg at (0.000, 0.000, 0.571), Mg at (0.500, 0.500, 0.732) and Cl at (0.500, 0.500, 0.148).

=====

3.
SrMg2Cl: optimized geometry, PBE-GGA.

As for the uncorrected formation energy: -604 meV per atom. For the total energy, the calculation gives -2.28 eV/atom. As for the energy above the lowest structure with this stoichiometry: 0.329 eV per formula unit. For the calculated volume, the calculation gives 137.0 Å³/f.u.

The structure belongs to space group R3m (No. 160, hexagonal axes); the cell edges are 4.0519, 4.0519 and 28.8991 Å and the angles 90.00°, 90.00° and 120.00°. The asymmetric unit holds Sr at (0.0000, 0.0000, 0.0000), Mg at (0.0000, 0.0000, 0.4974), Mg at (0.0000, 0.0000, 0.7610) and Cl at (0.0000, 0.0000, 0.2740).

=====

4.
Sr2MgCl: optimized geometry, PBE-GGA.

As for the uncorrected formation energy: -697 meV per atom. For the total energy, the calculation gives -2.40 eV/atom. As for the energy above the lowest structure with this stoichiometry: 0.575 eV per formula unit. For the calculated volume, the calculation gives 156.4 Å³/f.u.

The structure belongs to space group Immm (No. 71); the cell edges are 4.172, 7.127 and 10.519 Å and the angles 90.00°, 90.00° and 90.00°. The asymmetric unit holds Sr at (0.000, 0.000, 0.204), Mg at (0.000, 0.500, 0.000) and Cl at (0.000, 0.500, 0.500).

=====

5.
Sr2MgCl: optimized geometry, PBE-GGA.

As for the uncorrected formation energy: -529 meV per atom. For the total energy, the calculation gives -2.23 eV/atom. As for the energy above the lowest structure with this stoichiometry: 1.244 eV per formula unit. For the calculated volume, the calculation gives 147.5 Å³/f.u.

The structure belongs to space group Fm-3m (No. 225); the cell edges are 8.387, 8.387 and 8.387 Å and the angles 90.00°, 90.00° and 90.00°. The asymmetric unit holds Sr at (0.250, 0.250, 0.250), Mg at (0.000, 0.000, 0.000) and Cl at (0.000, 0.000, 0.500).

=====

6.
SrMg2Cl: optimized geometry, PBE-GGA.

As for the uncorrected formation energy: -416 meV per atom. For the total energy, the calculation gives -2.10 eV/atom. As for the energy above the lowest structure with this stoichiometry: 1.080 eV per formula unit. For the calculated volume, the calculation gives 120.4 Å³/f.u.

The structure belongs to space group R-3m (No. 166, hexagonal axes); the cell edges are 3.7643, 3.7643 and 29.4354 Å and the angles 90.00°, 90.00° and 120.00°. The asymmetric unit holds Sr at (0.0000, 0.0000, 0.0000), Mg at (0.0000, 0.0000, 0.2349) and Cl at (0.0000, 0.0000, 0.5000).

=====

7.
SrMg2Cl6: optimized geometry, PBE-GGA.

As for the uncorrected formation energy: -2054 meV per atom. For the total energy, the calculation gives -3.83 eV/atom. As for the energy above the lowest structure with this stoichiometry: 0.000 eV per formula unit. For the calculated volume, the calculation gives 233.8 Å³/f.u.

The structure belongs to space group P-31m (No. 162); the cell edges are 6.5342, 6.5342 and 6.3228 Å and the angles 90.00°, 90.00° and 120.00°. The asymmetric unit holds Sr at (0.0000, 0.0000, 0.0000), Mg at (0.3333, 0.6667, 0.5000) and Cl at (0.0000, 0.3633, 0.7247).

=====

8.
SrMg2Cl: optimized geometry, PBE-GGA.

As for the uncorrected formation energy: -479 meV per atom. For the total energy, the calculation gives -2.16 eV/atom. As for the energy above the lowest structure with this stoichiometry: 0.830 eV per formula unit. For the calculated volume, the calculation gives 130.5 Å³/f.u.

The structure belongs to space group Cmmm (No. 65); the cell edges are 5.830, 11.405 and 3.926 Å and the angles 90.00°, 90.00° and 90.00°. The asymmetric unit holds Sr at (0.000, 0.000, 0.000), Mg at (0.250, 0.250, 0.500) and Cl at (0.000, 0.500, 0.000).

=====

9.
Sr2MgCl: optimized geometry, PBE-GGA.

As for the uncorrected formation energy: -794 meV per atom. For the total energy, the calculation gives -2.49 eV/atom. As for the energy above the lowest structure with this stoichiometry: 0.187 eV per formula unit. For the calculated volume, the calculation gives 152.8 Å³/f.u.

The structure belongs to space group P4/mmm (No. 123); the cell edges are 6.060, 6.060 and 4.160 Å and the angles 90.00°, 90.00° and 90.00°. The asymmetric unit holds Sr at (0.000, 0.500, 0.000), Mg at (0.000, 0.000, 0.500) and Cl at (0.500, 0.500, 0.000).

=====

10.
Sr2MgCl: optimized geometry, PBE-GGA.

As for the uncorrected formation energy: -178 meV per atom. For the total energy, the calculation gives -1.88 eV/atom. As for the energy above the lowest structure with this stoichiometry: 2.652 eV per formula unit. For the calculated volume, the calculation gives 161.1 Å³/f.u.

The structure belongs to space group F-43m (No. 216); the cell edges are 8.637, 8.637 and 8.637 Å and the angles 90.00°, 90.00° and 90.00°. The asymmetric unit holds Sr at (0.000, 0.000, 0.000), Sr at (0.250, 0.250, 0.250), Mg at (0.250, 0.250, 0.750) and Cl at (0.000, 0.000, 0.500).

=====

11.
SrMg3Cl: optimized geometry, PBE-GGA.

As for the uncorrected formation energy: 564 meV per atom. For the total energy, the calculation gives -1.10 eV/atom. As for the energy above the lowest structure with this stoichiometry: 3.330 eV per formula unit. For the calculated volume, the calculation gives 315.0 Å³/f.u.

The structure belongs to space group Pm-3m (No. 221); the cell edges are 6.804, 6.804 and 6.804 Å and the angles 90.00°, 90.00° and 90.00°. The asymmetric unit holds Sr at (0.000, 0.000, 0.000), Mg at (0.000, 0.000, 0.500) and Cl at (0.500, 0.500, 0.500).

=====

12.
Sr2MgCl: optimized geometry, PBE-GGA.

As for the uncorrected formation energy: -644 meV per atom. For the total energy, the calculation gives -2.35 eV/atom. As for the energy above the lowest structure with this stoichiometry: 0.785 eV per formula unit. For the calculated volume, the calculation gives 169.7 Å³/f.u.

The structure belongs to space group R3m (No. 160, hexagonal axes); the cell edges are 4.1808, 4.1808 and 33.6406 Å and the angles 90.00°, 90.00° and 120.00°. The asymmetric unit holds Sr at (0.0000, 0.0000, 0.0000), Sr at (0.0000, 0.0000, 0.2272), Mg at (0.0000, 0.0000, 0.4814) and Cl at (0.0000, 0.0000, 0.7168).

=====

Which formula does entry 7 have? SrMg2Cl6